--- i ---
# SnI4

SnI4 after structural relaxation (PBE, Alexandria). Values from VASP.

As for the calculated density: 3.2 Mg/m³.

```
&SYSTEM
  ibrav = 0, nat = 10, ntyp = 2
/
ATOMIC_SPECIES
I 126.90 I.upf
Sn 118.71 Sn.upf
CELL_PARAMETERS angstrom
-3.073 -7.275 5.754
3.887 -1.175 8.888
-5.315 1.977 7.958
ATOMIC_POSITIONS crystal
I 0.637 0.089 0.637
I 0.637 0.637 0.637
I 0.661 0.113 0.113
I 0.113 0.113 0.661
Sn 0.750 0.750 0.750
I 0.637 0.637 0.089
I 0.113 0.113 0.113
I 0.089 0.637 0.637
Sn 0.000 0.000 0.000
I 0.113 0.661 0.113
```

--- ii ---
# SnI4

SnI4 after structural relaxation (PBE, Alexandria). Values from VASP.

As for the calculated density: 4.7 Mg/m³.

```
&SYSTEM
  ibrav = 0, nat = 5, ntyp = 2
/
ATOMIC_SPECIES
Sn 118.71 Sn.upf
I 126.90 I.upf
CELL_PARAMETERS angstrom
-0.760 5.951 -0.662
-5.843 -0.592 1.391
1.307 0.816 5.836
ATOMIC_POSITIONS crystal
Sn 0.500 0.500 0.500
I 0.000 0.500 0.500
I 0.500 0.000 0.500
I 0.000 0.000 0.000
I 0.500 0.500 0.000
```

Stability order, top to bottom: i, ii

--- i ---
# Sr2SnI

Sr2SnI after structural relaxation (PBE, Alexandria). Values from VASP.

As for the calculated density: 3.2 Mg/m³.

```
&SYSTEM
  ibrav = 0, nat = 8, ntyp = 3
/
ATOMIC_SPECIES
I 126.90 I.upf
Sr 87.62 Sr.upf
Sn 118.71 Sn.upf
CELL_PARAMETERS angstrom
-7.543 0.653 -1.271
1.250 -0.293 -7.569
-3.824 -7.305 -4.242
ATOMIC_POSITIONS crystal
I 0.000 0.000 0.000
Sr 0.875 0.854 0.750
Sn 0.500 0.500 0.000
Sr 0.375 0.396 0.750
Sn 0.250 0.750 0.500
Sr 0.604 0.125 0.250
Sr 0.146 0.625 0.250
I 0.750 0.250 0.500
```

--- ii ---
# Sr2SnI

Sr2SnI after structural relaxation (PBE, Alexandria). Values from VASP.

As for the calculated density: 4.9 Mg/m³.

```
&SYSTEM
  ibrav = 0, nat = 4, ntyp = 3
/
ATOMIC_SPECIES
Sn 118.71 Sn.upf
I 126.90 I.upf
Sr 87.62 Sr.upf
CELL_PARAMETERS angstrom
3.009 0.055 5.056
1.190 5.111 2.660
-2.718 1.404 5.026
ATOMIC_POSITIONS crystal
Sn 0.000 0.000 0.000
I 0.500 0.500 0.500
Sr 0.250 0.250 0.250
Sr 0.750 0.750 0.750
```

Stability order, top to bottom: ii, i

--- i ---
# Sr2SnI

Sr2SnI after structural relaxation (PBE, Alexandria). Values from VASP.

As for the calculated density: 4.8 Mg/m³.

```
&SYSTEM
  ibrav = 0, nat = 4, ntyp = 3
/
ATOMIC_SPECIES
Sr 87.62 Sr.upf
Sn 118.71 Sn.upf
I 126.90 I.upf
CELL_PARAMETERS angstrom
4.032 0.000 0.000
0.000 4.032 0.000
0.000 0.000 8.925
ATOMIC_POSITIONS crystal
Sr 0.000 0.000 0.778
Sn 0.500 0.500 0.000
Sr 0.000 0.000 0.222
I 0.500 0.500 0.500
```

--- ii ---
# Sr2SnI

Sr2SnI after structural relaxation (PBE, Alexandria). Values from VASP.

As for the calculated density: 4.3 Mg/m³.

```
&SYSTEM
  ibrav = 0, nat = 4, ntyp = 3
/
ATOMIC_SPECIES
Sn 118.71 Sn.upf
Sr 87.62 Sr.upf
I 126.90 I.upf
CELL_PARAMETERS angstrom
4.615 0.000 0.000
2.307 3.997 0.000
2.307 1.332 8.855
ATOMIC_POSITIONS crystal
Sn 0.667 0.667 0.998
Sr 0.075 0.075 0.776
I 0.498 0.498 0.507
Sr 0.260 0.260 0.219
```

--- iii ---
# Sr2SnI

Sr2SnI after structural relaxation (PBE, Alexandria). Values from VASP.

As for the calculated density: 4.3 Mg/m³.

```
&SYSTEM
  ibrav = 0, nat = 4, ntyp = 3
/
ATOMIC_SPECIES
Sr 87.62 Sr.upf
Sn 118.71 Sn.upf
I 126.90 I.upf
CELL_PARAMETERS angstrom
4.678 0.000 0.000
2.339 4.052 0.000
2.339 1.351 8.547
ATOMIC_POSITIONS crystal
Sr 0.741 0.741 0.776
Sn 0.000 0.000 0.000
I 0.500 0.500 0.500
Sr 0.259 0.259 0.224
```

Stability order, top to bottom: iii, i, ii